No. 1
Material: ScNiAg2H
Method: DFT, PBEsol
State: optimized geometry

Output
M_tot (μB/atom): 0.001
Total energy (eV/atom): -3.789

Lattice parameters (Å, degrees): 5.003 5.003 3.281 90.00 90.00 90.00
Element x y z (fractional)
Sc 0.000 0.000 0.000
Ni 0.500 0.500 0.500
Ag 0.000 0.500 0.000
Ag 0.500 0.000 0.000
H 0.000 0.000 0.500


No. 2
Material: AgH3O
Method: DFT, PBEsol
State: optimized geometry

Output
M_tot (μB/atom): 0.000
Total energy (eV/atom): -2.939

Lattice parameters (Å, degrees): 3.281 3.281 3.281 90.00 90.00 90.00
Element x y z (fractional)
Ag 0.000 0.000 0.000
H 0.000 0.500 0.500
H 0.500 0.000 0.500
H 0.500 0.500 0.000
O 0.500 0.500 0.500


No. 3
Material: AgH9O5
Method: DFT, PBEsol
State: optimized geometry

Output
M_tot (μB/atom): 0.000
Total energy (eV/atom): -4.860

Lattice parameters (Å, degrees): 5.752 7.087 12.071 90.00 90.00 90.00
Element x y z (fractional)
Ag 0.095 0.122 0.250
Ag 0.405 0.878 0.750
Ag 0.595 0.378 0.750
Ag 0.905 0.622 0.250
H 0.088 0.909 0.454
H 0.103 0.906 0.049
H 0.135 0.030 0.591
H 0.151 0.034 0.910
H 0.154 0.317 0.916
H 0.156 0.311 0.587
H 0.183 0.540 0.687
H 0.187 0.538 0.826
H 0.233 0.493 0.509
H 0.267 0.507 0.009
H 0.313 0.462 0.326
H 0.317 0.460 0.187
H 0.344 0.689 0.087
H 0.346 0.683 0.416
H 0.349 0.966 0.410
H 0.365 0.970 0.091
H 0.397 0.094 0.549
H 0.412 0.091 0.954
H 0.588 0.591 0.546
H 0.603 0.594 0.951
H 0.635 0.470 0.409
H 0.651 0.466 0.090
H 0.654 0.183 0.084
H 0.656 0.189 0.413
H 0.683 0.960 0.313
H 0.687 0.962 0.174
H 0.733 0.007 0.491
H 0.767 0.993 0.991
H 0.813 0.038 0.674
H 0.817 0.040 0.813
H 0.844 0.811 0.913
H 0.846 0.817 0.584
H 0.849 0.534 0.590
H 0.865 0.530 0.909
H 0.897 0.406 0.451
H 0.912 0.409 0.046
O 0.098 0.441 0.566
O 0.099 0.447 0.937
O 0.203 0.893 0.391
O 0.218 0.892 0.111
O 0.232 0.414 0.255
O 0.268 0.586 0.755
O 0.282 0.108 0.611
O 0.297 0.107 0.891
O 0.401 0.553 0.437
O 0.402 0.559 0.066
O 0.598 0.059 0.434
O 0.599 0.053 0.063
O 0.703 0.607 0.609
O 0.718 0.608 0.889
O 0.732 0.086 0.745
O 0.768 0.914 0.245
O 0.782 0.392 0.389
O 0.797 0.393 0.109
O 0.901 0.947 0.563
O 0.902 0.941 0.934


No. 4
Material: AgH8O5
Method: DFT, PBEsol
State: optimized geometry

Output
M_tot (μB/atom): 0.072
Total energy (eV/atom): -4.859

Lattice parameters (Å, degrees): 6.182 6.199 12.449 90.00 90.00 90.00
Element x y z (fractional)
Ag 0.002 0.214 0.250
Ag 0.498 0.786 0.750
Ag 0.502 0.286 0.750
Ag 0.998 0.714 0.250
H 0.048 0.472 0.083
H 0.052 0.806 0.558
H 0.092 0.445 0.474
H 0.116 0.060 0.838
H 0.135 0.544 0.620
H 0.172 0.579 0.928
H 0.194 0.032 0.665
H 0.241 0.949 0.497
H 0.259 0.051 0.997
H 0.306 0.968 0.165
H 0.328 0.421 0.428
H 0.365 0.456 0.120
H 0.384 0.940 0.338
H 0.408 0.555 0.974
H 0.448 0.194 0.058
H 0.452 0.528 0.583
H 0.548 0.028 0.917
H 0.552 0.694 0.442
H 0.592 0.055 0.526
H 0.616 0.440 0.162
H 0.635 0.956 0.380
H 0.672 0.921 0.072
H 0.694 0.468 0.335
H 0.741 0.551 0.503
H 0.759 0.449 0.003
H 0.806 0.532 0.835
H 0.828 0.079 0.572
H 0.865 0.044 0.880
H 0.884 0.560 0.662
H 0.908 0.945 0.026
H 0.948 0.306 0.942
H 0.952 0.972 0.417
O 0.024 0.075 0.907
O 0.100 0.959 0.535
O 0.138 0.467 0.150
O 0.175 0.422 0.407
O 0.240 0.961 0.238
O 0.260 0.039 0.738
O 0.325 0.578 0.907
O 0.362 0.533 0.650
O 0.400 0.041 0.035
O 0.476 0.925 0.407
O 0.524 0.425 0.093
O 0.600 0.541 0.465
O 0.638 0.033 0.850
O 0.675 0.078 0.593
O 0.740 0.539 0.762
O 0.760 0.461 0.262
O 0.825 0.922 0.093
O 0.862 0.967 0.350
O 0.900 0.459 0.965
O 0.976 0.575 0.593


No. 5
Material: Ag2P2H2O7
Method: DFT, PBEsol
State: optimized geometry

Output
M_tot (μB/atom): 0.000
Total energy (eV/atom): -6.176

Lattice parameters (Å, degrees): 14.879 14.017 7.084 82.69 69.13 28.18
Element x y z (fractional)
Ag 0.136 0.206 0.333
Ag 0.175 0.667 0.794
Ag 0.206 0.136 0.825
Ag 0.333 0.825 0.136
Ag 0.667 0.175 0.864
Ag 0.794 0.864 0.175
Ag 0.825 0.333 0.206
Ag 0.864 0.794 0.667
P 0.149 0.749 0.313
P 0.251 0.851 0.711
P 0.289 0.313 0.749
P 0.313 0.289 0.149
P 0.687 0.711 0.851
P 0.711 0.687 0.251
P 0.749 0.149 0.289
P 0.851 0.251 0.687
H 0.194 0.556 0.194
H 0.257 0.257 0.493
H 0.444 0.806 0.444
H 0.493 0.493 0.257
H 0.507 0.507 0.743
H 0.556 0.194 0.556
H 0.743 0.743 0.507
H 0.806 0.444 0.806
O 0.026 0.026 0.724
O 0.031 0.802 0.547
O 0.120 0.547 0.802
O 0.131 0.531 0.254
O 0.198 0.969 0.880
O 0.241 0.269 0.671
O 0.254 0.584 0.131
O 0.269 0.241 0.320
O 0.276 0.276 0.974
O 0.320 0.671 0.269
O 0.329 0.680 0.759
O 0.416 0.746 0.469
O 0.453 0.880 0.969
O 0.469 0.869 0.416
O 0.531 0.131 0.584
O 0.547 0.120 0.031
O 0.584 0.254 0.531
O 0.671 0.320 0.241
O 0.680 0.329 0.731
O 0.724 0.724 0.026
O 0.731 0.759 0.680
O 0.746 0.416 0.869
O 0.759 0.731 0.329
O 0.802 0.031 0.120
O 0.869 0.469 0.746
O 0.880 0.453 0.198
O 0.969 0.198 0.453
O 0.974 0.974 0.276


No. 6
Material: AgP2HO
Method: DFT, PBEsol
State: optimized geometry

Output
M_tot (μB/atom): 0.000
Total energy (eV/atom): -3.215

Lattice parameters (Å, degrees): 4.773 4.773 3.883 90.00 90.00 90.00
Element x y z (fractional)
Ag 0.000 0.000 0.000
P 0.000 0.500 0.000
P 0.500 0.000 0.000
H 0.500 0.500 0.500
O 0.000 0.000 0.500


No. 7
Material: Ag2H4S3O12
Method: DFT, PBEsol
State: optimized geometry

Output
M_tot (μB/atom): 0.000
Total energy (eV/atom): -5.644

Lattice parameters (Å, degrees): 10.090 7.073 13.845 90.00 90.00 90.00
Element x y z (fractional)
Ag 0.129 0.247 0.000
Ag 0.152 0.383 0.359
Ag 0.348 0.883 0.859
Ag 0.371 0.747 0.500
Ag 0.629 0.253 0.000
Ag 0.652 0.117 0.359
Ag 0.848 0.617 0.859
Ag 0.871 0.753 0.500
H 0.048 0.067 0.587
H 0.061 0.062 0.798
H 0.183 0.720 0.161
H 0.248 0.051 0.189
H 0.252 0.551 0.689
H 0.317 0.220 0.661
H 0.439 0.562 0.298
H 0.452 0.567 0.087
H 0.548 0.433 0.587
H 0.561 0.438 0.798
H 0.683 0.780 0.161
H 0.748 0.449 0.189
H 0.752 0.949 0.689
H 0.817 0.280 0.661
H 0.939 0.938 0.298
H 0.952 0.933 0.087
S 0.080 0.715 0.026
S 0.099 0.773 0.687
S 0.145 0.874 0.336
S 0.355 0.374 0.836
S 0.401 0.273 0.187
S 0.420 0.215 0.526
S 0.580 0.785 0.026
S 0.599 0.727 0.687
S 0.645 0.626 0.336
S 0.855 0.126 0.836
S 0.901 0.227 0.187
S 0.920 0.285 0.526
O 0.006 0.170 0.831
O 0.011 0.637 0.730
O 0.042 0.558 0.965
O 0.043 0.865 0.599
O 0.045 0.216 0.579
O 0.146 0.874 0.980
O 0.148 0.921 0.754
O 0.168 0.054 0.383
O 0.169 0.625 0.105
O 0.194 0.878 0.234
O 0.200 0.711 0.388
O 0.223 0.668 0.647
O 0.277 0.168 0.147
O 0.300 0.211 0.888
O 0.306 0.378 0.734
O 0.331 0.125 0.605
O 0.332 0.554 0.883
O 0.352 0.421 0.254
O 0.354 0.374 0.480
O 0.455 0.716 0.079
O 0.457 0.365 0.099
O 0.458 0.058 0.465
O 0.489 0.137 0.230
O 0.494 0.670 0.331
O 0.506 0.330 0.831
O 0.511 0.863 0.730
O 0.542 0.942 0.965
O 0.543 0.635 0.599
O 0.545 0.284 0.579
O 0.646 0.626 0.980
O 0.648 0.579 0.754
O 0.668 0.446 0.383
O 0.669 0.875 0.105
O 0.694 0.622 0.234
O 0.700 0.789 0.388
O 0.723 0.832 0.647
O 0.777 0.332 0.147
O 0.800 0.289 0.888
O 0.806 0.122 0.734
O 0.831 0.375 0.605
O 0.832 0.946 0.883
O 0.852 0.079 0.254
O 0.854 0.126 0.480
O 0.955 0.784 0.079
O 0.957 0.135 0.099
O 0.958 0.442 0.465
O 0.989 0.363 0.230
O 0.994 0.830 0.331


No. 8
Material: Ag2TeH4O6
Method: DFT, PBEsol
State: optimized geometry

Output
M_tot (μB/atom): 0.000
Total energy (eV/atom): -5.021

Lattice parameters (Å, degrees): 10.187 5.483 9.694 79.01 31.90 69.09
Element x y z (fractional)
Ag 0.400 0.600 0.444
Ag 0.600 0.400 0.556
Ag 0.694 0.806 0.650
Ag 0.806 0.694 0.850
Te 0.222 0.222 0.278
Te 0.972 0.972 0.028
H 0.165 0.181 0.063
H 0.181 0.165 0.590
H 0.187 0.660 0.085
H 0.231 0.746 0.285
H 0.512 0.965 0.504
H 0.660 0.187 0.069
H 0.746 0.231 0.738
H 0.965 0.512 0.019
O 0.124 0.317 0.548
O 0.144 0.595 0.271
O 0.239 0.702 0.933
O 0.259 0.979 0.655
O 0.287 0.845 0.304
O 0.317 0.124 0.011
O 0.595 0.144 0.991
O 0.686 0.946 0.405
O 0.702 0.239 0.126
O 0.845 0.287 0.564
O 0.946 0.686 0.963
O 0.979 0.259 0.106


No. 9
Material: AgH2Pb
Method: DFT, PBEsol
State: optimized geometry

Output
M_tot (μB/atom): 0.000
Total energy (eV/atom): -3.142

Lattice parameters (Å, degrees): 5.934 5.934 5.934 131.10 131.10 71.66
Element x y z (fractional)
Ag 0.000 0.000 0.000
Ag 0.750 0.250 0.500
H 0.375 0.240 0.365
H 0.760 0.125 0.135
H 0.875 0.010 0.635
H 0.990 0.625 0.865
Pb 0.250 0.750 0.500
Pb 0.500 0.500 0.000


No. 10
Material: AgHPb2
Method: DFT, PBEsol
State: optimized geometry

Output
M_tot (μB/atom): 0.000
Total energy (eV/atom): -3.273

Lattice parameters (Å, degrees): 4.828 4.828 4.828 60.00 60.00 60.00
Element x y z (fractional)
Ag 0.000 0.000 0.000
H 0.500 0.500 0.500
Pb 0.250 0.250 0.250
Pb 0.750 0.750 0.750


No. 11
Material: AgH2Pd
Method: DFT, PBEsol
State: optimized geometry

Output
M_tot (μB/atom): 0.000
Total energy (eV/atom): -3.969

Lattice parameters (Å, degrees): 5.336 5.336 5.336 133.75 133.75 67.47
Element x y z (fractional)
Ag 0.000 0.000 0.000
Ag 0.750 0.250 0.500
H 0.167 0.625 0.042
H 0.375 0.417 0.542
H 0.583 0.125 0.958
H 0.875 0.833 0.458
Pd 0.250 0.750 0.500
Pd 0.500 0.500 0.000


No. 12
Material: AgH2Pd2
Method: DFT, PBEsol
State: optimized geometry

Output
M_tot (μB/atom): 0.000
Total energy (eV/atom): -4.476

Lattice parameters (Å, degrees): 5.971 5.971 5.971 150.34 150.34 42.44
Element x y z (fractional)
Ag 0.000 0.000 0.000
H 0.250 0.750 0.500
H 0.750 0.250 0.500
Pd 0.342 0.342 0.000
Pd 0.658 0.658 0.000


No. 13
Material: AgSn2HPd
Method: DFT, PBEsol
State: optimized geometry

Output
M_tot (μB/atom): 0.000
Total energy (eV/atom): -4.176

Lattice parameters (Å, degrees): 5.317 5.317 3.254 90.00 90.00 90.00
Element x y z (fractional)
Ag 0.000 0.000 0.000
Sn 0.000 0.500 0.500
Sn 0.500 0.000 0.500
H 0.500 0.500 0.000
Pd 0.500 0.500 0.500